(1)
Entry from the Alexandria database: a crystal of CdIr2Ru relaxed with PBEsol (meta-GGA SCAN).

a = 9.1440 Å, b = 2.7429 Å, c = 4.8112 Å
α = 90.00°, β = 99.78°, γ = 90.00°
With the nearest neighbours (Å) after each atom.
Space group C2/m (No. 12)
Unique sites:
Cd 0.0000 0.0000 0.0000  6 Ir 2.73-2.85, 2 Cd 2.74, 4 Ru 2.77
Ir 0.2409 0.0000 0.7339  6 Ir 2.66-2.88, 3 Ru 2.68-2.79, 3 Cd 2.73-2.85
Ru 0.0000 0.5000 0.5000  6 Ir 2.68-2.79, 2 Ru 2.74, 4 Cd 2.77

Summary:
The formation enthalpy at 0 K is 217.4 meV/atom.

(2)
Entry from the Alexandria database: a crystal of Li2MnTc relaxed with PBEsol (meta-GGA SCAN).

a = 2.9076 Å, b = 4.2825 Å, c = 9.0228 Å
α = 90.00°, β = 90.00°, γ = 90.00°
With the nearest neighbours (Å) after each atom.
Space group Cmm2 (No. 35)
Unique sites:
Li 0.0000 0.0000 0.0000  4 Li 2.59, 2 Mn 2.64
Li 0.0000 0.5000 0.2909  4 Li 2.59, 2 Tc 2.70
Mn 0.0000 0.5000 0.7561  2 Tc 2.41, 4 Mn 2.59, 2 Li 2.64
Tc 0.0000 0.0000 0.5430  2 Mn 2.41, 4 Tc 2.59

Summary:
The calculation puts the offset from the most stable computed form at 0.000 eV/atom. The formation enthalpy at 0 K is 155.0 meV/atom.

- formation enthalpy at 0 K of number 1 (CdIr2Ru)?
  217.4 meV/atom